! ThTl3F7 (PBE, relaxed); values from VASP
! **ΔE to the lowest computed polymorph**: 0.000 eV per atom
&SYSTEM
  ibrav = 0, nat = 11, ntyp = 3
/
ATOMIC_SPECIES
Th 232.04 Th.upf
Tl 204.38 Tl.upf
F 19.00 F.upf
ATOMIC_POSITIONS crystal
Th 0.000 0.000 0.000
Tl 0.197 0.711 0.464
Tl 0.455 0.455 0.965
Tl 0.711 0.197 0.464
F 0.089 0.089 0.758
F 0.310 0.310 0.198
F 0.310 0.865 0.200
F 0.639 0.989 0.763
F 0.844 0.844 0.167
F 0.865 0.310 0.200
F 0.989 0.639 0.763
CELL_PARAMETERS angstrom
4.496 -4.398 0.000
4.496 4.398 0.000
-3.903 0.000 6.255



! ThTlF5 (PBE, relaxed); values from VASP
! **ΔE to the lowest computed polymorph**: 0.005 eV per atom
&SYSTEM
  ibrav = 0, nat = 14, ntyp = 3
/
ATOMIC_SPECIES
Th 232.04 Th.upf
Tl 204.38 Tl.upf
F 19.00 F.upf
ATOMIC_POSITIONS crystal
Th 0.073 0.927 0.750
Th 0.927 0.073 0.250
Tl 0.315 0.685 0.750
Tl 0.685 0.315 0.250
F 0.154 0.811 0.975
F 0.189 0.846 0.525
F 0.192 0.253 0.587
F 0.253 0.192 0.087
F 0.395 0.605 0.250
F 0.605 0.395 0.750
F 0.747 0.808 0.913
F 0.808 0.747 0.413
F 0.811 0.154 0.475
F 0.846 0.189 0.025
CELL_PARAMETERS angstrom
2.310 -8.826 0.000
2.310 8.826 0.000
-0.311 0.000 6.318



Crystalline Th2Tl5F12 at its relaxed geometry. Source: Alexandria, functional PBE. Values from VASP.

Quantum ESPRESSO input file:
```
&SYSTEM
  ibrav = 0, nat = 19, ntyp = 3
/
ATOMIC_SPECIES
Th 232.04 Th.upf
Tl 204.38 Tl.upf
F 19.00 F.upf
ATOMIC_POSITIONS crystal
Th 0.250 0.750 0.000
Th 0.750 0.250 0.000
Tl 0.000 0.000 0.500
Tl 0.243 0.243 0.864
Tl 0.382 0.382 0.470
Tl 0.618 0.618 0.530
Tl 0.757 0.757 0.136
F 0.070 0.070 0.107
F 0.097 0.712 0.234
F 0.199 0.585 0.779
F 0.288 0.903 0.766
F 0.415 0.801 0.221
F 0.430 0.430 0.100
F 0.570 0.570 0.900
F 0.585 0.199 0.779
F 0.712 0.097 0.234
F 0.801 0.415 0.221
F 0.903 0.288 0.766
F 0.930 0.930 0.893
CELL_PARAMETERS angstrom
7.296 -4.187 0.000
7.296 4.187 0.000
-0.274 0.000 7.286
```



! ThTl3F7 (PBE, relaxed); values from VASP
! **ΔE to the lowest computed polymorph**: 0.011 eV per atom
&SYSTEM
  ibrav = 0, nat = 44, ntyp = 3
/
ATOMIC_SPECIES
Th 232.04 Th.upf
Tl 204.38 Tl.upf
F 19.00 F.upf
ATOMIC_POSITIONS crystal
Th 0.108 0.892 0.501
Th 0.108 0.892 0.999
Th 0.892 0.108 0.001
Th 0.892 0.108 0.499
Tl 0.026 0.510 0.750
Tl 0.291 0.323 0.750
Tl 0.323 0.291 0.250
Tl 0.364 0.636 0.034
Tl 0.364 0.636 0.466
Tl 0.490 0.974 0.750
Tl 0.510 0.026 0.250
Tl 0.636 0.364 0.534
Tl 0.636 0.364 0.966
Tl 0.677 0.709 0.750
Tl 0.709 0.677 0.250
Tl 0.974 0.490 0.250
F 0.020 0.231 0.250
F 0.052 0.948 0.250
F 0.087 0.358 0.555
F 0.087 0.358 0.945
F 0.129 0.129 0.000
F 0.129 0.129 0.500
F 0.179 0.821 0.250
F 0.223 0.777 0.566
F 0.223 0.777 0.934
F 0.231 0.020 0.750
F 0.358 0.087 0.055
F 0.358 0.087 0.445
F 0.364 0.636 0.750
F 0.500 0.500 0.000
F 0.500 0.500 0.500
F 0.636 0.364 0.250
F 0.642 0.913 0.555
F 0.642 0.913 0.945
F 0.769 0.980 0.250
F 0.777 0.223 0.066
F 0.777 0.223 0.434
F 0.821 0.179 0.750
F 0.871 0.871 0.000
F 0.871 0.871 0.500
F 0.913 0.642 0.055
F 0.913 0.642 0.445
F 0.948 0.052 0.750
F 0.980 0.769 0.750
CELL_PARAMETERS angstrom
4.961 -9.673 0.000
4.961 9.673 0.000
0.000 0.000 8.579



Crystalline ThTlF at its relaxed geometry. Source: Alexandria, functional PBE. Values from VASP.

Quantum ESPRESSO input file:
```
&SYSTEM
  ibrav = 0, nat = 6, ntyp = 3
/
ATOMIC_SPECIES
Th 232.04 Th.upf
Tl 204.38 Tl.upf
F 19.00 F.upf
ATOMIC_POSITIONS crystal
Th 0.184 0.000 0.000
Th 0.816 0.000 0.000
Tl 0.000 0.666 0.666
Tl 0.500 0.672 0.672
F 0.288 0.667 0.667
F 0.712 0.667 0.667
CELL_PARAMETERS angstrom
15.112 0.000 0.000
0.000 1.761 3.050
0.000 -1.761 3.050
```



! ThTlF5 (PBE, relaxed); values from VASP
! **ΔE to the lowest computed polymorph**: 0.000 eV per atom
&SYSTEM
  ibrav = 0, nat = 28, ntyp = 3
/
ATOMIC_SPECIES
Th 232.04 Th.upf
Tl 204.38 Tl.upf
F 19.00 F.upf
ATOMIC_POSITIONS crystal
Th 0.083 0.157 0.362
Th 0.083 0.343 0.862
Th 0.917 0.657 0.138
Th 0.917 0.843 0.638
Tl 0.413 0.649 0.645
Tl 0.413 0.851 0.145
Tl 0.587 0.149 0.855
Tl 0.587 0.351 0.355
F 0.131 0.204 0.124
F 0.131 0.296 0.624
F 0.153 0.021 0.859
F 0.153 0.479 0.359
F 0.161 0.576 0.073
F 0.161 0.924 0.573
F 0.168 0.639 0.786
F 0.168 0.861 0.286
F 0.386 0.182 0.497
F 0.386 0.318 0.997
F 0.614 0.682 0.003
F 0.614 0.818 0.503
F 0.832 0.139 0.714
F 0.832 0.361 0.214
F 0.839 0.076 0.427
F 0.839 0.424 0.927
F 0.847 0.521 0.641
F 0.847 0.979 0.141
F 0.869 0.704 0.376
F 0.869 0.796 0.876
CELL_PARAMETERS angstrom
8.343 0.000 0.000
0.000 7.305 0.000
-4.203 0.000 7.937



Crystalline ThTl6F12 at its relaxed geometry. Source: Alexandria, functional PBE. Values from VASP.

Quantum ESPRESSO input file:
```
&SYSTEM
  ibrav = 0, nat = 19, ntyp = 3
/
ATOMIC_SPECIES
Th 232.04 Th.upf
Tl 204.38 Tl.upf
F 19.00 F.upf
ATOMIC_POSITIONS crystal
Th 0.000 0.000 0.000
Tl 0.147 0.602 0.335
Tl 0.335 0.147 0.602
Tl 0.398 0.665 0.853
Tl 0.602 0.335 0.147
Tl 0.665 0.853 0.398
Tl 0.853 0.398 0.665
F 0.035 0.717 0.897
F 0.103 0.965 0.283
F 0.182 0.419 0.585
F 0.283 0.103 0.965
F 0.415 0.818 0.581
F 0.419 0.585 0.182
F 0.581 0.415 0.818
F 0.585 0.182 0.419
F 0.717 0.897 0.035
F 0.818 0.581 0.415
F 0.897 0.035 0.717
F 0.965 0.283 0.103
CELL_PARAMETERS angstrom
5.813 3.356 3.621
-5.813 3.356 3.621
0.000 -6.713 3.621
```



Crystalline Tm2ThF at its relaxed geometry. Source: Alexandria, functional PBE. Values from VASP.

Quantum ESPRESSO input file:
```
&SYSTEM
  ibrav = 0, nat = 4, ntyp = 3
/
ATOMIC_SPECIES
Tm 168.93 Tm.upf
Th 232.04 Th.upf
F 19.00 F.upf
ATOMIC_POSITIONS crystal
Tm 0.227 0.227 0.227
Tm 0.773 0.773 0.773
Th 0.000 0.000 0.000
F 0.500 0.500 0.500
CELL_PARAMETERS angstrom
1.788 1.032 8.551
-1.788 1.032 8.551
0.000 -2.065 8.551
```



Crystalline ThUF6 at its relaxed geometry. Source: Alexandria, functional PBE. Values from VASP.

Quantum ESPRESSO input file:
```
&SYSTEM
  ibrav = 0, nat = 8, ntyp = 3
/
ATOMIC_SPECIES
Th 232.04 Th.upf
U 238.03 U.upf
F 19.00 F.upf
ATOMIC_POSITIONS crystal
Th 0.000 0.000 0.000
U 0.500 0.500 0.500
F 0.064 0.570 0.570
F 0.430 0.430 0.936
F 0.430 0.936 0.430
F 0.570 0.064 0.570
F 0.570 0.570 0.064
F 0.936 0.430 0.430
CELL_PARAMETERS angstrom
2.420 1.397 5.950
-2.420 1.397 5.950
0.000 -2.795 5.950
```



Number 1: calculated volume 22.49 A^3/atom, ΔE_f (raw) -2.887 eV/atom. Number 2: calculated volume 18.40 A^3/atom, ΔE_f (raw) -3.507 eV/atom. Number 3: calculated volume 23.43 A^3/atom, ΔE_f (raw) -2.900 eV/atom. Number 4: calculated volume 18.71 A^3/atom, ΔE_f (raw) -2.876 eV/atom. Number 5: calculated volume 27.06 A^3/atom, ΔE_f (raw) -1.381 eV/atom. Number 6: calculated volume 17.27 A^3/atom, ΔE_f (raw) -3.511 eV/atom. Number 7: calculated volume 22.31 A^3/atom, ΔE_f (raw) -2.329 eV/atom. Number 8: calculated volume 23.68 A^3/atom, ΔE_f (raw) -1.131 eV/atom. Number 9: calculated volume 15.09 A^3/atom, ΔE_f (raw) -3.085 eV/atom.